1.
Material: BiB2F
Method: DFT, PBEsol
State: optimized geometry

abc: 3.3886 3.3886 20.2701
angles: 90.00 90.00 90.00
Last column: nearest neighbours and their distance in Å.
Space group I4_1/amd (No. 141, origin choice 2)
One atom of each set of equivalent atoms:
1 Bi 0.0000 0.2500 0.3750 (multiplicity 4)  4 F 2.40
2 B 0.0000 0.0000 0.0000 (multiplicity 8)  2 B 1.69
3 F 0.0000 0.2500 0.8750 (multiplicity 4)  4 Bi 2.40, 4 B 2.67

Computed properties:
- N(E_F): 4.2 states/eV per cell
- Magnetization: 0.00 μB/f.u.
- ΔE_f (raw): 0.26 eV per atom



2.
Material: BiBF3
Method: DFT, PBEsol
State: optimized geometry

abc: 4.0004 4.0004 4.0004
angles: 90.00 90.00 90.00
Last column: nearest neighbours and their distance in Å.
Space group Pm-3m (No. 221)
One atom of each set of equivalent atoms:
1 Bi 0.0000 0.0000 0.0000 (multiplicity 1)  12 F 2.83
2 B 0.5000 0.5000 0.5000 (multiplicity 1)  6 F 2.00
3 F 0.0000 0.5000 0.5000 (multiplicity 3)  2 B 2.00

Computed properties:
- N(E_F): 3.5 states/eV per cell
- Magnetization: 0.00 μB/f.u.
- ΔE_f (raw): -0.57 eV per atom



3.
Material: Hg2BiBF
Method: DFT, PBEsol
State: optimized geometry

abc: 5.0704 5.0704 4.5492
angles: 90.00 90.00 90.00
Last column: nearest neighbours and their distance in Å.
Space group P4/mmm (No. 123)
One atom of each set of equivalent atoms:
1 Hg 0.0000 0.5000 0.0000 (multiplicity 2)  2 F 2.54
2 Bi 0.0000 0.0000 0.5000 (multiplicity 1)  2 F 2.27
3 B 0.5000 0.5000 0.5000 (multiplicity 1)  8 Hg 3.41, 4 Bi 3.59
4 F 0.0000 0.0000 0.0000 (multiplicity 1)  2 Bi 2.27, 4 Hg 2.54

Computed properties:
- N(E_F): 2.6 states/eV per cell
- Magnetization: 0.00 μB/f.u.
- ΔE_f (raw): 0.68 eV per atom